## Rb2CaCdAs2 (PBE-GGA)

Data for crystalline Rb2CaCdAs2 at its relaxed geometry.

abc: 6.9130 7.0567 9.5011
angles: 111.80 111.33 90.00
Closest atoms and distances in Å follow each position.
Atoms (fractional coordinates):
Ca  0.0000  0.7500  0.0000  4 As 2.95
Ca  0.0000  0.2500  0.0000  4 As 2.95
Cd  0.5000  0.2500  0.0000  4 As 2.86
Cd  0.5000  0.7500  0.0000  4 As 2.86
Rb  0.0946  0.3205  0.6411  4 As 3.50-3.79, 2 Cd 3.75, 2 Ca 3.90
Rb  0.9054  0.6795  0.3589  4 As 3.50-3.79, 2 Cd 3.75, 2 Ca 3.90
Rb  0.5465  0.8205  0.6411  4 As 3.50-3.79, 2 Cd 3.75, 2 Ca 3.90
Rb  0.4535  0.1795  0.3589  4 As 3.50-3.79, 2 Cd 3.75, 2 Ca 3.90
As  0.1660  0.9055  0.8111  2 Cd 2.86, 2 Ca 2.95
As  0.3549  0.5945  0.1889  2 Cd 2.86, 2 Ca 2.95
As  0.8340  0.0945  0.1889  2 Cd 2.86, 2 Ca 2.95
As  0.6451  0.4055  0.8111  2 Cd 2.86, 2 Ca 2.95

Results
V: 33.0 A^3/atom
energy: -36.01 eV for the cell shown
formation energy from the elements: -0.642 eV per atom